First-principles (PBE) data for DyZr3 after structural relaxation, as listed in Alexandria. Values from VASP.

Results
As for the formation energy: 0.0510 eV/atom. As for the space group: Pmm2. The density comes out at 7.247 g cm⁻³. For the energy above the lowest structure with this stoichiometry, the calculation gives 0.000 eV per atom.

Structure (Quantum ESPRESSO input):
```
&SYSTEM
  ibrav = 0, nat = 4, ntyp = 2
/
ATOMIC_SPECIES
Zr 91.22 Zr.upf
Dy 162.50 Dy.upf
CELL_PARAMETERS angstrom
-1.5569 2.3521 -1.7123
-4.1937 -3.1088 -0.4573
-2.1390 2.1624 4.9151
ATOMIC_POSITIONS crystal
Zr 0.0000 0.0000 0.9916
Zr 0.5000 0.5000 0.8298
Zr 0.5000 0.0000 0.5160
Dy 0.0000 0.5000 0.3293
```



First-principles (PBE) data for DyZr2 after structural relaxation, as listed in Alexandria. Values from VASP.

Results
As for the formation energy: 0.2409 eV/atom. As for the space group: Fd-3m. The density comes out at 7.128 g cm⁻³.

Structure (Quantum ESPRESSO input):
```
&SYSTEM
  ibrav = 0, nat = 6, ntyp = 2
/
ATOMIC_SPECIES
Zr 91.22 Zr.upf
Dy 162.50 Dy.upf
CELL_PARAMETERS angstrom
6.1027 0.0000 0.0000
3.0513 5.2851 0.0000
3.0513 1.7617 4.9828
ATOMIC_POSITIONS crystal
Zr 0.1250 0.6250 0.6250
Zr 0.6250 0.1250 0.6250
Zr 0.6250 0.6250 0.1250
Zr 0.6250 0.6250 0.6250
Dy 0.2500 0.2500 0.2500
Dy 0.0000 0.0000 0.0000
```



First-principles (PBE) data for EuEr3 after structural relaxation, as listed in Alexandria. Values from VASP.

Results
As for the formation energy: 0.0750 eV/atom. As for the space group: Pmm2. The density comes out at 8.315 g cm⁻³. For the energy above the lowest structure with this stoichiometry, the calculation gives 0.003 eV per atom.

Structure (Quantum ESPRESSO input):
```
&SYSTEM
  ibrav = 0, nat = 4, ntyp = 2
/
ATOMIC_SPECIES
Er 167.26 Er.upf
Eu 151.96 Eu.upf
CELL_PARAMETERS angstrom
3.6008 0.0000 0.0000
0.0000 5.7558 0.0000
0.0000 0.0000 6.2989
ATOMIC_POSITIONS crystal
Er 0.5000 0.0000 0.5083
Er 0.0000 0.0000 0.9946
Er 0.5000 0.5000 0.8311
Eu 0.0000 0.5000 0.3327
```



Density of states at the Fermi level for every record listed, in sequence, given in states/eV per atom: 0.949; 2.197; 1.566.
Calculated total energy for every record listed, in sequence, given in eV/cell: -30.042; -41.951; -23.663.